## SrCd3Au2 (PBE)

Data for an optimized crystal structure of SrCd3Au2.

Output
Raw total energy   -53.49 eV/cell
Excess energy over the best structure of this formula in the dataset   0 meV/atom

a = 17.320 Å, b = 4.497 Å, c = 8.803 Å
α = 90.00°, β = 118.10°, γ = 90.00°
Space group C2/m (No. 12)
Asymmetric unit:
Sr (0.143, 0.000, 0.070)
Cd (0.038, 0.000, 0.379)
Cd (0.111, 0.500, 0.719)
Cd (0.183, 0.500, 0.457)
Au (0.014, 0.500, 0.165)
Au (0.207, 0.000, 0.704)

=====

## SrCd8Au6 (PBE)

Data for an optimized crystal structure of SrCd8Au6.

Output
Raw total energy   -96.40 eV/cell

a = 8.4060 Å, b = 8.4060 Å, c = 17.1501 Å
α = 90.00°, β = 90.00°, γ = 120.00°
Space group R-3 (No. 148, hexagonal axes)
Asymmetric unit:
Sr (0.0000, 0.0000, 0.0000)
Cd (0.0000, 0.0000, 0.3350)
Cd (0.0023, 0.6632, 0.5487)
Au (0.9999, 0.3503, 0.9462)

=====

## SrCd4Au (PBE)

Data for an optimized crystal structure of SrCd4Au.

Output
Raw total energy   -20.93 eV/cell
Excess energy over the best structure of this formula in the dataset   0 meV/atom

a = 8.727 Å, b = 4.476 Å, c = 7.780 Å
α = 90.00°, β = 90.00°, γ = 90.00°
Space group Pmma (No. 51)
Asymmetric unit:
Sr (0.250, 0.000, 0.113)
Cd (0.000, 0.000, 0.500)
Cd (0.051, 0.500, 0.808)
Cd (0.250, 0.500, 0.444)
Au (0.250, 0.000, 0.718)

=====

## Sr2CdAu (PBE)

Data for an optimized crystal structure of Sr2CdAu.

Output
Raw total energy   -27.87 eV/cell

a = 4.8559 Å, b = 4.8559 Å, c = 22.2991 Å
α = 90.00°, β = 90.00°, γ = 120.00°
Space group R3m (No. 160, hexagonal axes)
Asymmetric unit:
Sr (0.0000, 0.0000, 0.0000)
Sr (0.0000, 0.0000, 0.1748)
Cd (0.0000, 0.0000, 0.7545)
Au (0.0000, 0.0000, 0.4201)

=====

## Sr5Cd4Au (PBE)

Data for an optimized crystal structure of Sr5Cd4Au.

Output
Raw total energy   -19.45 eV/cell

a = 3.960 Å, b = 3.960 Å, c = 20.576 Å
α = 90.00°, β = 90.00°, γ = 90.00°
Space group P4/mmm (No. 123)
Asymmetric unit:
Sr (0.000, 0.000, 0.000)
Sr (0.000, 0.000, 0.204)
Sr (0.000, 0.000, 0.409)
Cd (0.500, 0.500, 0.102)
Cd (0.500, 0.500, 0.305)
Au (0.500, 0.500, 0.500)

=====

## Sr3Cd3Au2 (PBE)

Data for an optimized crystal structure of Sr3Cd3Au2.

Output
Raw total energy   -74.09 eV/cell

a = 4.487 Å, b = 11.617 Å, c = 17.966 Å
α = 90.00°, β = 90.00°, γ = 90.00°
Space group Cmcm (No. 63)
Asymmetric unit:
Sr (0.000, 0.061, 0.107)
Sr (0.000, 0.339, 0.250)
Cd (0.000, 0.355, 0.033)
Cd (0.000, 0.374, 0.750)
Au (0.000, 0.229, 0.618)

=====

## Sr2CdAu7 (PBE)

Data for an optimized crystal structure of Sr2CdAu7.

Output
Raw total energy   -31.96 eV/cell

a = 4.289 Å, b = 4.289 Å, c = 12.883 Å
α = 90.00°, β = 90.00°, γ = 90.00°
Space group P-4m2 (No. 115)
Asymmetric unit:
Sr (0.000, 0.500, 0.238)
Cd (0.000, 0.000, 0.500)
Au (0.000, 0.000, 0.000)
Au (0.000, 0.500, 0.648)
Au (0.000, 0.500, 0.856)
Au (0.500, 0.500, 0.000)
Au (0.500, 0.500, 0.500)

=====

## Sr3CdAu3 (PBE)

Data for an optimized crystal structure of Sr3CdAu3.

Output
Raw total energy   -82.22 eV/cell

a = 12.021 Å, b = 4.570 Å, c = 15.809 Å
α = 90.00°, β = 109.59°, γ = 90.00°
Space group C2/m (No. 12)
Asymmetric unit:
Sr (0.022, 0.000, 0.383)
Sr (0.105, 0.000, 0.923)
Sr (0.239, 0.000, 0.228)
Cd (0.234, 0.500, 0.399)
Au (0.026, 0.500, 0.232)
Au (0.113, 0.500, 0.077)
Au (0.125, 0.500, 0.545)

=====

## SrCdAu3 (PBE)

Data for an optimized crystal structure of SrCdAu3.

Output
Raw total energy   -59.46 eV/cell
Excess energy over the best structure of this formula in the dataset   0 meV/atom

a = 3.889 Å, b = 27.730 Å, c = 4.508 Å
α = 90.00°, β = 90.00°, γ = 90.00°
Space group Cmcm (No. 63)
Asymmetric unit:
Sr (0.000, 0.079, 0.250)
Cd (0.000, 0.208, 0.750)
Au (0.000, 0.309, 0.750)
Au (0.000, 0.371, 0.250)
Au (0.000, 0.471, 0.250)

=====

## SrCd2Au6 (PBE)

Data for an optimized crystal structure of SrCd2Au6.

Output
Raw total energy   -51.33 eV/cell
Excess energy over the best structure of this formula in the dataset   0 meV/atom

a = 3.651 Å, b = 7.870 Å, c = 13.994 Å
α = 90.00°, β = 90.00°, γ = 90.00°
Space group Immm (No. 71)
Asymmetric unit:
Sr (0.000, 0.000, 0.000)
Cd (0.000, 0.500, 0.142)
Au (0.000, 0.174, 0.500)
Au (0.000, 0.320, 0.321)

=====

## SrCdAu (PBE)

Data for an optimized crystal structure of SrCdAu.

Output
Raw total energy   -46.12 eV/cell

a = 7.960 Å, b = 4.429 Å, c = 13.788 Å
α = 90.00°, β = 90.36°, γ = 90.00°
Space group P2_1/m (No. 11)
Asymmetric unit:
Sr (0.040, 0.250, 0.124)
Sr (0.159, 0.250, 0.419)
Sr (0.451, 0.750, 0.788)
Cd (0.128, 0.250, 0.703)
Cd (0.359, 0.750, 0.043)
Cd (0.497, 0.750, 0.415)
Au (0.252, 0.750, 0.250)
Au (0.255, 0.250, 0.917)
Au (0.255, 0.750, 0.584)

=====

## SrCd4Au (PBE)

Data for an optimized crystal structure of SrCd4Au.

Output
Raw total energy   -41.88 eV/cell
Excess energy over the best structure of this formula in the dataset   0 meV/atom

a = 4.566 Å, b = 17.175 Å, c = 7.827 Å
α = 90.00°, β = 90.00°, γ = 90.00°
Space group Cmcm (No. 63)
Asymmetric unit:
Sr (0.000, 0.125, 0.250)
Cd (0.000, 0.071, 0.750)
Cd (0.000, 0.324, 0.060)
Cd (0.000, 0.500, 0.000)
Au (0.000, 0.238, 0.750)

=====

## SrCd3Au (PBE)

Data for an optimized crystal structure of SrCd3Au.

Output
Raw total energy   -4.21 eV/cell
Excess energy over the best structure of this formula in the dataset   1069 meV/atom

a = 6.478 Å, b = 6.478 Å, c = 6.478 Å
α = 90.00°, β = 90.00°, γ = 90.00°
Space group Pm-3m (No. 221)
Asymmetric unit:
Sr (0.000, 0.000, 0.000)
Cd (0.000, 0.000, 0.500)
Au (0.500, 0.500, 0.500)

=====

## Sr4Cd5Au2 (PBE)

Data for an optimized crystal structure of Sr4Cd5Au2.

Output
Raw total energy   -22.70 eV/cell

a = 7.892 Å, b = 4.240 Å, c = 10.014 Å
α = 90.00°, β = 95.05°, γ = 90.00°
Space group P2/m (No. 10)
Asymmetric unit:
Sr (0.181, 0.000, 0.367)
Sr (0.243, 0.000, 0.940)
Cd (0.187, 0.500, 0.655)
Cd (0.447, 0.500, 0.192)
Cd (0.500, 0.500, 0.500)
Au (0.068, 0.500, 0.141)

=====

## SrCd5Au3 (PBE)

Data for an optimized crystal structure of SrCd5Au3.

Output
Raw total energy   -75.34 eV/cell

a = 4.413 Å, b = 14.762 Å, c = 13.505 Å
α = 90.00°, β = 90.00°, γ = 90.00°
Space group Cmcm (No. 63)
Asymmetric unit:
Sr (0.000, 0.173, 0.250)
Cd (0.000, 0.000, 0.000)
Cd (0.000, 0.197, 0.549)
Cd (0.000, 0.436, 0.144)
Au (0.000, 0.147, 0.750)
Au (0.000, 0.384, 0.573)

=====

## Sr12CdAu5 (PBE)

Data for an optimized crystal structure of Sr12CdAu5.

Output
Raw total energy   -92.36 eV/cell

a = 10.361 Å, b = 10.988 Å, c = 11.825 Å
α = 90.00°, β = 90.00°, γ = 90.00°
Space group Immm (No. 71)
Asymmetric unit:
Sr (0.000, 0.188, 0.236)
Sr (0.188, 0.500, 0.163)
Sr (0.220, 0.326, 0.500)
Cd (0.000, 0.000, 0.500)
Au (0.000, 0.000, 0.000)
Au (0.000, 0.332, 0.000)
Au (0.000, 0.500, 0.373)

=====

## Sr6CdAu (PBE)

Data for an optimized crystal structure of Sr6CdAu.

Output
Raw total energy   -32.72 eV/cell

a = 5.719 Å, b = 5.719 Å, c = 20.633 Å
α = 90.00°, β = 90.00°, γ = 90.00°
Space group I4/mmm (No. 139)
Asymmetric unit:
Sr (0.000, 0.000, 0.248)
Sr (0.000, 0.500, 0.092)
Cd (0.000, 0.000, 0.000)
Au (0.000, 0.000, 0.500)

=====

## SrCd2Au4 (PBE)

Data for an optimized crystal structure of SrCd2Au4.

Output
Raw total energy   -39.77 eV/cell

a = 7.335 Å, b = 7.335 Å, c = 5.668 Å
α = 90.00°, β = 90.00°, γ = 90.00°
Space group I4/mmm (No. 139)
Asymmetric unit:
Sr (0.000, 0.000, 0.000)
Cd (0.000, 0.500, 0.250)
Au (0.194, 0.194, 0.500)

=====

## SrCd3Au (PBE)

Data for an optimized crystal structure of SrCd3Au.

Output
Raw total energy   -8.54 eV/cell
Excess energy over the best structure of this formula in the dataset   204 meV/atom

a = 5.317 Å, b = 5.317 Å, c = 5.317 Å
α = 90.00°, β = 90.00°, γ = 90.00°
Space group Pm-3m (No. 221)
Asymmetric unit:
Sr (0.000, 0.000, 0.000)
Cd (0.000, 0.500, 0.500)
Au (0.500, 0.500, 0.500)

=====

## Sr2CdAu3 (PBE)

Data for an optimized crystal structure of Sr2CdAu3.

Output
Raw total energy   -143.79 eV/cell
Excess energy over the best structure of this formula in the dataset   20 meV/atom

a = 8.015 Å, b = 9.683 Å, c = 16.773 Å
α = 90.00°, β = 90.00°, γ = 90.00°
Space group Fmmm (No. 69)
Asymmetric unit:
Sr (0.244, 0.000, 0.000)
Sr (0.250, 0.250, 0.250)
Cd (0.000, 0.000, 0.334)
Au (0.000, 0.000, 0.168)
Au (0.000, 0.248, 0.416)

=====

For each record above, in turn, the calculated ΔH_f (0 K) values are -2.39, -3.47, -1.85, -1.74, -4.10, -4.18, -4.74, -4.76, -2.44, -2.49, -1.81, -1.85, 3.49, -4.84, -2.74, -8.69, -2.08, -3.27, -0.83, -3.86 eV/f.u..